## SrCaCd2Pb (PBE)

Data for crystalline SrCaCd2Pb at its relaxed geometry.

POSCAR file:
```
SrCaCd2Pb
1.0
-5.478 0.774 -2.063
0.489 -5.660 -3.424
-2.160 -2.980 4.617
Pb Sr Ca Cd
1 1 1 2
direct
0.500 0.500 0.500
0.000 0.000 0.000
0.000 0.500 0.000
0.000 0.000 0.500
0.500 0.000 0.000
```

Values from the calculation:
space-group type	P4/mmm, No. 123
VASP energy	-1.143	eV per atom
magnetic moment	0.00	μB/f.u.
density of states at the Fermi level	1.27	states/eV per atom

=====

## Pr2NdEr3Se6 (PBE)

Data for crystalline Pr2NdEr3Se6 at its relaxed geometry.

POSCAR file:
```
Pr2NdEr3Se6
1.0
4.076 0.000 0.000
0.000 8.450 0.126
-2.038 -2.618 8.747
Pr Nd Er Se
2 1 3 6
direct
0.833 0.667 0.667
0.167 0.333 0.333
0.500 0.000 0.000
0.500 0.500 0.000
0.833 0.167 0.666
0.167 0.833 0.334
0.329 0.930 0.659
0.662 0.595 0.324
0.671 0.070 0.341
0.995 0.260 0.990
0.005 0.740 0.010
0.338 0.405 0.676
```

Values from the calculation:
uncorrected formation energy	-21.35	eV per formula unit
space-group type	C2/m, No. 12
magnetic moment	0.00	μB/f.u.
density of states at the Fermi level	0.39	states/eV per atom

=====

## La2AlAs (PBE)

Data for crystalline La2AlAs at its relaxed geometry.

POSCAR file:
```
La2AlAs
1.0
-0.708 3.941 -4.700
-3.524 0.295 -5.061
-2.906 2.032 2.143
As Al La
1 1 2
direct
0.298 0.298 0.125
0.451 0.451 0.625
0.016 0.016 0.125
0.735 0.735 0.625
```

Values from the calculation:
space-group type	Amm2, No. 38
magnetic moment	0.16	μB/f.u.
ΔE to the lowest computed polymorph	0.0	meV/atom
density of states at the Fermi level	1.19	states/eV per atom

=====

## TiAs2SeBr (PBE)

Data for crystalline TiAs2SeBr at its relaxed geometry.

POSCAR file:
```
TiAs2SeBr
1.0
-2.384 4.431 -0.385
-1.795 -0.559 4.683
3.851 2.223 1.742
As Se Br Ti
2 1 1 1
direct
0.000 0.500 0.000
0.500 0.000 0.000
0.500 0.500 0.500
0.000 0.000 0.500
0.000 0.000 0.000
```

Values from the calculation:
uncorrected formation energy	0.72	eV per formula unit
space-group type	P4/mmm, No. 123
magnetic moment	0.00	μB/f.u.
ΔE to the lowest computed polymorph	157.1	meV/atom
density of states at the Fermi level	0.76	states/eV per atom

=====

## CaCu3Sn4O12 (PBE)

Data for crystalline CaCu3Sn4O12 at its relaxed geometry.

POSCAR file:
```
CaCu3Sn4O12
1.0
-2.253 1.459 -6.167
-0.282 -6.649 0.975
-3.829 3.101 4.578
Ca Cu Sn O
1 3 4 12
direct
0.000 0.000 0.000
0.500 0.000 0.500
0.500 0.500 0.000
0.000 0.500 0.500
0.500 0.500 0.500
0.500 0.000 0.000
0.000 0.500 0.000
0.000 0.000 0.500
0.307 0.138 0.830
0.693 0.862 0.170
0.693 0.523 0.830
0.477 0.170 0.307
0.170 0.307 0.477
0.830 0.307 0.138
0.862 0.170 0.693
0.830 0.693 0.523
0.307 0.477 0.170
0.523 0.830 0.693
0.170 0.693 0.862
0.138 0.830 0.307
```

Values from the calculation:
uncorrected formation energy	-28.29	eV per formula unit
space-group type	Im-3, No. 204
magnetic moment	3.00	μB/f.u.

=====

## ScTl2 (PBE)

Data for crystalline ScTl2 at its relaxed geometry.

POSCAR file:
```
ScTl2
1.0
2.656 -2.261 -5.007
3.986 -4.596 0.472
-1.506 -5.563 -2.005
Sc Tl
2 4
direct
0.500 0.500 0.500
0.750 0.750 0.750
0.625 0.125 0.125
0.125 0.625 0.125
0.125 0.125 0.625
0.125 0.125 0.125
```

Values from the calculation:
space-group type	Fd-3m, No. 227
VASP energy	-3.501	eV per atom
magnetic moment	0.00	μB/f.u.
density of states at the Fermi level	0.81	states/eV per atom

=====

## CeYAu2 (PBE)

Data for crystalline CeYAu2 at its relaxed geometry.

POSCAR file:
```
CeYAu2
1.0
4.125 0.000 0.000
2.062 3.572 0.000
2.062 1.191 7.454
Y Au Ce
1 2 1
direct
0.000 0.000 0.000
0.747 0.747 0.758
0.253 0.253 0.242
0.500 0.500 0.500
```

Values from the calculation:
space-group type	R-3m, No. 166
VASP energy	-5.335	eV per atom
magnetic moment	1.28	μB/f.u.
density of states at the Fermi level	2.31	states/eV per atom

=====

## In2Hg2Pb3 (PBE)

Data for crystalline In2Hg2Pb3 at its relaxed geometry.

POSCAR file:
```
In2Hg2Pb3
1.0
3.561 0.000 0.000
0.000 3.860 0.593
0.000 -0.287 14.732
In Hg Pb
2 2 3
direct
0.500 0.292 0.416
0.500 0.708 0.584
0.000 0.150 0.700
0.000 0.850 0.300
0.500 0.422 0.156
0.500 0.578 0.844
0.000 0.000 0.000
```

Values from the calculation:
space-group type	Cmmm, No. 65
magnetic moment	0.00	μB/f.u.
ΔE to the lowest computed polymorph	12.9	meV/atom
density of states at the Fermi level	0.51	states/eV per atom